# PBE with a Hubbard U Ac2NiHg2O6, optimized geometry
data_Ac2NiHg2O6
_space_group_name_H-M_alt 'R -3 m'
_space_group_IT_number 166
_space_group_name_Hall '-R 3 2"'
_cell_length_a 6.3651
_cell_length_b 6.3651
_cell_length_c 16.2261
_cell_angle_alpha 90.00
_cell_angle_beta 90.00
_cell_angle_gamma 120.00
loop_
_atom_site_label
_atom_site_type_symbol
_atom_site_fract_x
_atom_site_fract_y
_atom_site_fract_z
Ac1 Ac 0.0000 0.0000 0.2004
Ni1 Ni 0.0000 0.0000 0.0000
Hg1 Hg 0.0000 0.0000 0.4088
O1 O 0.0540 0.5270 0.7565
# Total energy = -171.541 eV per cell
# M_tot = 5.937 Bohr magnetons per cell